1.
Compound: TbPm7Pb2
Source: Alexandria via LeMat-Bulk
Functional: PBE-GGA
Structure: relaxed

Calculated values
ΔE_f (meV/atom): 257
DOS at the Fermi energy (states/eV per cell): 40.34

Cell lengths 9.3494, 15.9601, 5.5664 Å; angles 90.00, 90.00, 90.00 degrees
Space group Cmmm (No. 65)
Unique sites:
Tb  0.0000  0.0000  0.0000 [2 per cell]
Pm  0.0000  0.2234  0.0000 [4 per cell]
Pm  0.0000  0.5000  0.5000 [2 per cell]
Pm  0.1806  0.1207  0.5000 [8 per cell]
Pb  0.0000  0.3043  0.5000 [4 per cell]

2.
Compound: Pm7Sm3
Source: Alexandria via LeMat-Bulk
Functional: PBE-GGA
Structure: relaxed

Calculated values
ΔE_f (meV/atom): 172
DOS at the Fermi energy (states/eV per cell): 36.76
ΔE to the lowest computed polymorph (eV per atom): 0.160

Cell lengths 11.1607, 11.1607, 6.3753 Å; angles 90.00, 90.00, 120.00 degrees
Space group P6_3mc (No. 186)
Unique sites:
Pm  0.0572  0.5286  0.0000 [6 per cell]
Pm  0.1166  0.2332  0.8589 [6 per cell]
Pm  0.3333  0.6667  0.7641 [2 per cell]
Sm  0.2133  0.4266  0.3758 [6 per cell]

3.
Compound: La2Cu4Ge3Pb
Source: Alexandria via LeMat-Bulk
Functional: PBE-GGA
Structure: relaxed

Calculated values
ΔE_f (meV/atom): -448
DOS at the Fermi energy (states/eV per cell): 3.97

Cell lengths 4.3357, 4.3357, 10.4843 Å; angles 90.00, 90.00, 90.00 degrees
Space group P-4m2 (No. 115)
Unique sites:
La  0.0000  0.5000  0.2288 [2 per cell]
Cu  0.0000  0.0000  0.0000 [1 per cell]
Cu  0.0000  0.5000  0.6496 [2 per cell]
Cu  0.5000  0.5000  0.0000 [1 per cell]
Ge  0.0000  0.5000  0.8784 [2 per cell]
Ge  0.5000  0.5000  0.5000 [1 per cell]
Pb  0.0000  0.0000  0.5000 [1 per cell]

4.
Compound: Mn2InHRh
Source: Alexandria via LeMat-Bulk
Functional: PBE-GGA
Structure: relaxed

Calculated values
DOS at the Fermi energy (states/eV per cell): 4.07
ΔE to the lowest computed polymorph (eV per atom): 0.147

Cell lengths 3.8089, 3.8089, 4.4209 Å; angles 90.00, 90.00, 90.00 degrees
Space group P4/mmm (No. 123)
Unique sites:
Mn  0.0000  0.5000  0.0000 [2 per cell]
In  0.0000  0.0000  0.5000 [1 per cell]
H  0.0000  0.0000  0.0000 [1 per cell]
Rh  0.5000  0.5000  0.5000 [1 per cell]

5.
Compound: Ba2SrCr
Source: Alexandria via LeMat-Bulk
Functional: PBE-GGA
Structure: relaxed

Calculated values
ΔE_f (meV/atom): 413
DOS at the Fermi energy (states/eV per cell): 5.04
ΔE to the lowest computed polymorph (eV per atom): 0.000

Cell lengths 4.2248, 4.2248, 10.6409 Å; angles 90.00, 90.00, 90.00 degrees
Space group P4/mmm (No. 123)
Unique sites:
Ba  0.0000  0.0000  0.1912 [2 per cell]
Sr  0.5000  0.5000  0.5000 [1 per cell]
Cr  0.5000  0.5000  0.0000 [1 per cell]

6.
Compound: TeMo2
Source: Alexandria via LeMat-Bulk
Functional: PBE-GGA
Structure: relaxed

Calculated values
DOS at the Fermi energy (states/eV per cell): 9.91
Raw formation energy (eV/atom): 0.3023
ΔE to the lowest computed polymorph (eV per atom): 0.261

Cell lengths 9.5228, 3.2746, 7.3182 Å; angles 90.00, 109.43, 90.00 degrees
Space group C2/m (No. 12)
Unique sites:
Te  0.0139  0.0000  0.2752 [4 per cell]
Mo  0.1600  0.5000  0.0382 [4 per cell]
Mo  0.1880  0.5000  0.6348 [4 per cell]

7.
Compound: Ba2ZrScIr
Source: Alexandria via LeMat-Bulk
Functional: PBE-GGA
Structure: relaxed

Calculated values
ΔE_f (meV/atom): 494
DOS at the Fermi energy (states/eV per cell): 8.50

Cell lengths 6.1153, 6.1153, 5.0228 Å; angles 90.00, 90.00, 90.00 degrees
Space group P4/mmm (No. 123)
Unique sites:
Ba  0.0000  0.5000  0.0000 [2 per cell]
Zr  0.0000  0.0000  0.5000 [1 per cell]
Sc  0.5000  0.5000  0.5000 [1 per cell]
Ir  0.5000  0.5000  0.0000 [1 per cell]

8.
Compound: TbPm2PrEr
Source: Alexandria via LeMat-Bulk
Functional: PBE-GGA
Structure: relaxed

Calculated values
ΔE_f (meV/atom): 279
DOS at the Fermi energy (states/eV per cell): 12.21

Cell lengths 8.4110, 6.6020, 6.2512 Å; angles 90.00, 93.90, 90.00 degrees
Space group P2/c (No. 13)
Unique sites:
Tb  0.0000  0.0675  0.2500 [2 per cell]
Pm  0.3100  0.1906  0.7281 [4 per cell]
Pr  0.0000  0.5000  0.0000 [2 per cell]
Er  0.5000  0.3374  0.2500 [2 per cell]

9.
Compound: MgTiPt2I
Source: Alexandria via LeMat-Bulk
Functional: PBE-GGA
Structure: relaxed

Calculated values
DOS at the Fermi energy (states/eV per cell): 3.47
Raw formation energy (eV/atom): 0.7682

Cell lengths 5.0153, 5.0153, 4.9009 Å; angles 90.00, 90.00, 90.00 degrees
Space group P4/mmm (No. 123)
Unique sites:
Mg  0.0000  0.0000  0.0000 [1 per cell]
Ti  0.5000  0.5000  0.0000 [1 per cell]
Pt  0.0000  0.5000  0.5000 [2 per cell]
I  0.5000  0.5000  0.5000 [1 per cell]

10.
Compound: HoHPt3
Source: Alexandria via LeMat-Bulk
Functional: PBE-GGA
Structure: relaxed

Calculated values
DOS at the Fermi energy (states/eV per cell): 0.47
ΔE to the lowest computed polymorph (eV per atom): 0.058

Cell lengths 4.1634, 4.1634, 4.1634 Å; angles 90.00, 90.00, 90.00 degrees
Space group Pm-3m (No. 221)
Unique sites:
Ho  0.0000  0.0000  0.0000 [1 per cell]
H  0.5000  0.5000  0.5000 [1 per cell]
Pt  0.0000  0.5000  0.5000 [3 per cell]

11.
Compound: Li2MnCuSe
Source: Alexandria via LeMat-Bulk
Functional: PBE-GGA
Structure: relaxed

Calculated values
DOS at the Fermi energy (states/eV per cell): 2.27
Raw formation energy (eV/atom): 0.1534

Cell lengths 4.6849, 4.6849, 4.7196 Å; angles 90.00, 90.00, 90.00 degrees
Space group P4/mmm (No. 123)
Unique sites:
Li  0.0000  0.5000  0.0000 [2 per cell]
Mn  0.0000  0.0000  0.5000 [1 per cell]
Cu  0.5000  0.5000  0.5000 [1 per cell]
Se  0.5000  0.5000  0.0000 [1 per cell]

12.
Compound: La2AlCr
Source: Alexandria via LeMat-Bulk
Functional: PBE-GGA
Structure: relaxed

Calculated values
ΔE_f (meV/atom): 425
DOS at the Fermi energy (states/eV per cell): 20.69

Cell lengths 8.3539, 8.3539, 6.1330 Å; angles 90.00, 90.00, 90.00 degrees
Space group I-42d (No. 122)
Unique sites:
La  0.2129  0.2500  0.1250 [8 per cell]
Al  0.0000  0.0000  0.5000 [4 per cell]
Cr  0.0000  0.0000  0.0000 [4 per cell]

13.
Compound: Pm3GaNi2
Source: Alexandria via LeMat-Bulk
Functional: PBE-GGA
Structure: relaxed

Calculated values
ΔE_f (meV/atom): -304
DOS at the Fermi energy (states/eV per cell): 37.72
ΔE to the lowest computed polymorph (eV per atom): 0.070

Cell lengths 8.3017, 8.3017, 14.3583 Å; angles 90.00, 90.00, 120.00 degrees
Space group R-3c (No. 167, hexagonal axes)
Unique sites:
Pm  0.0000  0.3178  0.2500 [18 per cell]
Ga  0.0000  0.0000  0.0000 [6 per cell]
Ni  0.0000  0.0000  0.1661 [12 per cell]

14.
Compound: PuIn2GaSn
Source: Alexandria via LeMat-Bulk
Functional: PBE-GGA
Structure: relaxed

Calculated values
ΔE_f (meV/atom): -85
DOS at the Fermi energy (states/eV per cell): 38.28

Cell lengths 3.1389, 19.1992, 8.7389 Å; angles 90.00, 90.00, 90.00 degrees
Space group Cmcm (No. 63)
Unique sites:
Pu  0.0000  0.0970  0.2500 [4 per cell]
In  0.0000  0.3361  0.0570 [8 per cell]
Ga  0.0000  0.2614  0.7500 [4 per cell]
Sn  0.0000  0.5000  0.0000 [4 per cell]

15.
Compound: Na2LaIrRh
Source: Alexandria via LeMat-Bulk
Functional: PBE-GGA
Structure: relaxed

Calculated values
ΔE_f (meV/atom): 626
DOS at the Fermi energy (states/eV per cell): 3.94

Cell lengths 5.2534, 5.2534, 5.2549 Å; angles 90.00, 90.00, 90.00 degrees
Space group P4/mmm (No. 123)
Unique sites:
Na  0.0000  0.5000  0.0000 [2 per cell]
La  0.0000  0.0000  0.5000 [1 per cell]
Ir  0.0000  0.0000  0.0000 [1 per cell]
Rh  0.5000  0.5000  0.5000 [1 per cell]

16.
Compound: InIrRu2
Source: Alexandria via LeMat-Bulk
Functional: PBE-GGA
Structure: relaxed

Calculated values
ΔE_f (meV/atom): 310
DOS at the Fermi energy (states/eV per cell): 10.08

Cell lengths 2.8577, 4.6722, 9.4929 Å; angles 90.00, 90.00, 90.00 degrees
Space group Imm2 (No. 44)
Unique sites:
In  0.0000  0.0000  0.0000 [2 per cell]
Ir  0.0000  0.5000  0.7653 [2 per cell]
Ru  0.0000  0.0000  0.5029 [2 per cell]
Ru  0.0000  0.5000  0.2327 [2 per cell]

17.
Compound: Pm6SmHo12
Source: Alexandria via LeMat-Bulk
Functional: PBE-GGA
Structure: relaxed

Calculated values
ΔE_f (meV/atom): 214
DOS at the Fermi energy (states/eV per cell): 94.69
ΔE to the lowest computed polymorph (eV per atom): 0.096

Cell lengths 13.2221, 13.2221, 12.6126 Å; angles 90.00, 90.00, 120.00 degrees
Space group R-3m (No. 166, hexagonal axes)
Unique sites:
Pm  0.0378  0.5189  0.1174 [18 per cell]
Sm  0.0000  0.0000  0.5000 [3 per cell]
Ho  0.0000  0.2571  0.0000 [18 per cell]
Ho  0.0913  0.1826  0.7643 [18 per cell]

18.
Compound: CaIn2Pd
Source: Alexandria via LeMat-Bulk
Functional: PBE-GGA
Structure: relaxed

Calculated values
ΔE_f (meV/atom): -401
DOS at the Fermi energy (states/eV per cell): 2.03

Cell lengths 4.3879, 4.3879, 4.7343 Å; angles 90.00, 90.00, 90.00 degrees
Space group P4/mmm (No. 123)
Unique sites:
Ca  0.0000  0.0000  0.0000 [1 per cell]
In  0.0000  0.5000  0.5000 [2 per cell]
Pd  0.5000  0.5000  0.0000 [1 per cell]

19.
Compound: SnRh3Br
Source: Alexandria via LeMat-Bulk
Functional: PBE-GGA
Structure: relaxed

Calculated values
DOS at the Fermi energy (states/eV per cell): 7.85
Raw formation energy (eV/atom): 1.1476
ΔE to the lowest computed polymorph (eV per atom): 0.348

Cell lengths 4.9552, 4.9552, 4.9552 Å; angles 90.00, 90.00, 90.00 degrees
Space group Pm-3m (No. 221)
Unique sites:
Sn  0.0000  0.0000  0.0000 [1 per cell]
Rh  0.0000  0.0000  0.5000 [3 per cell]
Br  0.5000  0.5000  0.5000 [1 per cell]

20.
Compound: FeTc2Ni
Source: Alexandria via LeMat-Bulk
Functional: PBE-GGA
Structure: relaxed

Calculated values
ΔE_f (meV/atom): 86
DOS at the Fermi energy (states/eV per cell): 3.75
ΔE to the lowest computed polymorph (eV per atom): 0.107

Cell lengths 3.0784, 3.0784, 5.4991 Å; angles 90.00, 90.00, 90.00 degrees
Space group P4mm (No. 99)
Unique sites:
Fe  0.0000  0.0000  0.0000 [1 per cell]
Tc  0.0000  0.0000  0.4551 [1 per cell]
Tc  0.5000  0.5000  0.7213 [1 per cell]
Ni  0.5000  0.5000  0.1930 [1 per cell]

21.
Compound: RbHfOs2
Source: Alexandria via LeMat-Bulk
Functional: PBE-GGA
Structure: relaxed

Calculated values
ΔE_f (meV/atom): 1381
DOS at the Fermi energy (states/eV per cell): 13.95
ΔE to the lowest computed polymorph (eV per atom): 0.060

Cell lengths 6.7601, 6.7601, 6.7601 Å; angles 90.00, 90.00, 90.00 degrees
Space group Fm-3m (No. 225)
Unique sites:
Rb  0.0000  0.0000  0.0000 [4 per cell]
Hf  0.0000  0.0000  0.5000 [4 per cell]
Os  0.2500  0.2500  0.2500 [8 per cell]

22.
Compound: CsSiAg3
Source: Alexandria via LeMat-Bulk
Functional: PBE-GGA
Structure: relaxed

Calculated values
DOS at the Fermi energy (states/eV per cell): 0.00
Raw formation energy (eV/atom): 0.0904
ΔE to the lowest computed polymorph (eV per atom): 0.000

Cell lengths 5.1148, 5.1148, 5.1148 Å; angles 90.00, 90.00, 90.00 degrees
Space group Pm-3m (No. 221)
Unique sites:
Cs  0.0000  0.0000  0.0000 [1 per cell]
Si  0.5000  0.5000  0.5000 [1 per cell]
Ag  0.0000  0.5000  0.5000 [3 per cell]

23.
Compound: YRuBr
Source: Alexandria via LeMat-Bulk
Functional: PBE-GGA
Structure: relaxed

Calculated values
DOS at the Fermi energy (states/eV per cell): 7.34
Raw formation energy (eV/atom): -0.1112
ΔE to the lowest computed polymorph (eV per atom): 0.857

Cell lengths 3.3494, 3.3494, 11.5042 Å; angles 90.00, 90.00, 90.00 degrees
Space group I4mm (No. 107)
Unique sites:
Y  0.0000  0.0000  0.0000 [2 per cell]
Ru  0.0000  0.0000  0.6435 [2 per cell]
Br  0.0000  0.0000  0.3176 [2 per cell]

24.
Compound: NaLa2Ir2
Source: Alexandria via LeMat-Bulk
Functional: PBE-GGA
Structure: relaxed

Calculated values
ΔE_f (meV/atom): -430
DOS at the Fermi energy (states/eV per cell): 6.75
ΔE to the lowest computed polymorph (eV per atom): 0.000

Cell lengths 8.1227, 8.1227, 3.7292 Å; angles 90.00, 90.00, 90.00 degrees
Space group P4/mbm (No. 127)
Unique sites:
Na  0.0000  0.0000  0.0000 [2 per cell]
La  0.1559  0.3441  0.5000 [4 per cell]
Ir  0.1378  0.6378  0.0000 [4 per cell]

25.
Compound: SmErHgTe
Source: Alexandria via LeMat-Bulk
Functional: PBE-GGA
Structure: relaxed

Calculated values
DOS at the Fermi energy (states/eV per cell): 6.37
Raw formation energy (eV/atom): -0.8605

Cell lengths 4.1805, 4.1805, 23.3559 Å; angles 90.00, 90.00, 120.00 degrees
Space group R3m (No. 160, hexagonal axes)
Unique sites:
Sm  0.0000  0.0000  0.0000 [3 per cell]
Er  0.0000  0.0000  0.5008 [3 per cell]
Hg  0.0000  0.0000  0.2477 [3 per cell]
Te  0.0000  0.0000  0.7533 [3 per cell]

In the order shown, the computed magnetic moment values come out to 0.0 0.0 0.0 6.7 4.4 0.0 2.5 0.0 0.0 0.0 4.4 13.5 0.0 22.1 1.0 0.0 0.0 0.0 2.1 2.4 0.0 0.0 0.5 0.0 0.0 μB per cell.
In the order shown, the computed V values come out to 41.53 34.39 19.71 12.83 47.48 17.93 37.57 34.63 24.65 14.43 20.72 26.75 23.80 26.33 29.00 15.84 33.50 22.79 24.33 13.03 19.31 26.76 21.51 24.60 29.46 Å³ per atom.